VASP calculation (PBE-GGA) on a relaxed BaMnTe2Ir crystal.

Structure (extended XYZ):
```
5
Lattice="6.4112 0.0000 0.0000 0.0000 5.3152 0.0000 0.0000 0.0000 6.4112" Properties=species:S:1:pos:R:3 pbc="T T T"
Ir 0.0000 2.6576 0.0000
Te 0.0000 0.0000 3.2056
Te 3.2056 0.0000 0.0000
Ba 0.0000 0.0000 0.0000
Mn 3.2056 2.6576 3.2056
```

Values from the calculation:
Magnetic moment ... 0.57 μB per atom
Formation energy without anion corrections ... 1.481 eV per atom
Uncorrected energy ... -18.83 eV per cell
Distance to the lowest polymorph of the same formula ... 1574 meV/atom
Crystal system ... tetragonal


VASP calculation (PBE-GGA) on a relaxed GdSn2Ge crystal.

Structure (extended XYZ):
```
4
Lattice="-3.7502 2.3090 -1.8890 -1.5569 -3.8964 -1.6718 -2.3414 -0.6946 3.7994" Properties=species:S:1:pos:R:3 pbc="T T T"
Ge -1.8751 1.1545 -0.9445
Gd -3.8243 -1.1410 0.1193
Sn -1.1707 -0.3473 1.8997
Sn -0.7784 -1.9482 -0.8359
```

Values from the calculation:
Magnetic moment ... 1.71 μB per atom
Uncorrected energy ... -28.47 eV per cell
Distance to the lowest polymorph of the same formula ... 0 meV/atom
Crystal system ... tetragonal


VASP calculation (PBE-GGA) on a relaxed Sc2GaF crystal.

Structure (extended XYZ):
```
4
Lattice="0.2580 -3.9521 7.2673 3.0001 -5.2490 5.6521 3.2339 -2.2335 7.2837" Properties=species:S:1:pos:R:3 pbc="T T T"
Sc 5.9443 -10.4697 18.4983
Sc 0.5478 -0.9649 1.7047
Ga 3.2460 -5.7173 10.1015
F 0.0000 0.0000 0.0000
```

Values from the calculation:
Magnetic moment ... 0.00 μB per atom
Formation energy without anion corrections ... -1.360 eV per atom
Uncorrected energy ... -23.00 eV per cell
Distance to the lowest polymorph of the same formula ... 0 meV/atom
Crystal system ... trigonal


VASP calculation (PBE-GGA) on a relaxed TaSb2P crystal.

Structure (extended XYZ):
```
4
Lattice="-2.1198 2.1198 4.6042 2.1198 -2.1198 4.6042 2.1198 2.1198 -4.6042" Properties=species:S:1:pos:R:3 pbc="T T T"
Ta 0.0000 0.0000 4.6042
Sb 0.0000 0.0000 0.0000
Sb 2.1198 0.0000 2.3021
P 0.0000 2.1198 2.3021
```

Values from the calculation:
Magnetic moment ... 0.00 μB per atom
Formation energy without anion corrections ... 0.564 eV per atom
Uncorrected energy ... -23.25 eV per cell
Crystal system ... tetragonal


VASP calculation (PBE-GGA) on a relaxed Li4Ga3Ag crystal.

Structure (extended XYZ):
```
16
Lattice="-0.3770 1.8111 4.2669 4.5803 -3.3366 1.8209 5.7479 6.6314 -2.3067" Properties=species:S:1:pos:R:3 pbc="T T T"
Ag 2.2901 -1.6683 0.9105
Ag 5.1641 1.6474 -0.2429
Ga 0.0000 0.0000 0.0000
Ga 2.8740 3.3157 -1.1534
Ga 4.0805 6.0803 0.8774
Ga 1.2903 2.3622 1.0828
Ga 6.3665 4.4319 1.8349
Ga 3.5846 0.6739 1.9462
Li 3.2510 -1.6001 3.5009
Li 6.1250 1.7156 2.3475
Li 0.9522 0.0745 2.5870
Li 3.8262 3.3902 1.4336
Li 7.7124 2.6703 0.1241
Li 4.5471 0.7540 4.5747
Li 2.2388 2.4356 3.6570
Li 5.4041 4.3518 -0.7936
```

Values from the calculation:
Magnetic moment ... 0.00 μB per atom
Uncorrected energy ... -43.36 eV per cell
Crystal system ... orthorhombic


VASP calculation (PBE-GGA) on a relaxed Nb4MoW crystal.

Structure (extended XYZ):
```
12
Lattice="-3.2425 1.8708 2.6616 -0.7660 -4.0902 1.9417 6.8139 1.9980 6.8968" Properties=species:S:1:pos:R:3 pbc="T T T"
Nb -2.3314 1.1714 4.2627
Nb -1.0999 -1.8112 3.8960
Nb 0.4987 0.5904 4.1555
Nb -1.5123 -0.5212 6.4503
Nb 2.6897 1.2331 6.3738
Nb 3.9347 -1.7452 6.0207
Nb 5.5198 0.6523 6.2665
Nb 3.5223 -0.4555 8.5751
Mo -1.8128 -0.0872 1.8162
Mo 1.2112 -1.1333 6.2355
W -0.5745 -3.0676 1.4563
W 3.2155 -0.0235 3.9338
```

Values from the calculation:
Magnetic moment ... 0.00 μB per atom
Uncorrected energy ... -129.04 eV per cell
Distance to the lowest polymorph of the same formula ... 0 meV/atom
Crystal system ... orthorhombic


VASP calculation (PBE-GGA) on a relaxed TmThOs crystal.

Structure (extended XYZ):
```
18
Lattice="3.9280 0.0000 0.0000 0.0000 8.1089 0.0000 0.0000 0.0000 14.2781" Properties=species:S:1:pos:R:3 pbc="T T T"
Tm 1.9640 3.5413 1.7597
Tm 1.9640 4.5675 12.5184
Tm 1.9640 3.5413 5.3794
Tm 1.9640 4.5675 8.8987
Tm 1.9640 6.4324 3.5695
Tm 1.9640 1.6764 10.7086
Th 0.0000 1.5950 13.6785
Th 0.0000 6.5139 0.5995
Th 0.0000 1.5950 7.7386
Th 0.0000 6.5139 6.5395
Th 0.0000 1.1589 3.5695
Th 0.0000 6.9500 10.7086
Os 1.9640 0.5282 1.4166
Os 1.9640 7.5806 12.8615
Os 1.9640 0.5282 5.7225
Os 1.9640 7.5806 8.5556
Os 0.0000 4.3725 3.5695
Os 0.0000 3.7364 10.7086
```

Values from the calculation:
Magnetic moment ... 0.00 μB per atom
Uncorrected energy ... -144.06 eV per cell
Distance to the lowest polymorph of the same formula ... 0 meV/atom
Crystal system ... orthorhombic


VASP calculation (PBE-GGA) on a relaxed Ba3LaMn crystal.

Structure (extended XYZ):
```
5
Lattice="6.4352 0.0000 0.0000 0.0000 6.4352 0.0000 0.0000 0.0000 6.4352" Properties=species:S:1:pos:R:3 pbc="T T T"
Mn 3.2176 3.2176 3.2176
Ba 0.0000 3.2176 0.0000
Ba 0.0000 0.0000 3.2176
Ba 3.2176 0.0000 0.0000
La 0.0000 0.0000 0.0000
```

Values from the calculation:
Magnetic moment ... 1.12 μB per atom
Uncorrected energy ... -14.88 eV per cell
Crystal system ... cubic